## CoCu2Rh (SCAN)

Data for a PBEsol-optimized structure of CoCu2Rh.

Lattice parameters (Å, degrees): 2.5990 3.5391 5.1232 90.00 90.00 90.00
With the nearest neighbours (Å) after each atom.
Sites, in units of the cell vectors:
Co: 0.5000 0.5000 0.7444  4 Rh 2.50, 6 Cu 2.53-2.59, 2 Co 2.60
Rh: 0.0000 0.0000 0.5127  4 Co 2.50, 6 Cu 2.52-2.61, 2 Rh 2.60
Cu: 0.5000 0.5000 0.2380  6 Cu 2.50-2.60, 2 Co 2.53-2.59, 4 Rh 2.61
Cu: 0.0000 0.0000 0.0049  6 Cu 2.50-2.60, 2 Rh 2.52-2.60, 4 Co 2.57

Summary:
The mass density is 10.18 Mg/m³. The value obtained for the formation energy is 69 meV/atom. For the total moment, the calculation gives 0.66 μB/atom.

=====

## CoCu2Rh (SCAN)

Data for a PBEsol-optimized structure of CoCu2Rh.

Lattice parameters (Å, degrees): 2.6706 4.1711 4.9166 115.10 105.76 90.00
With the nearest neighbours (Å) after each atom.
Sites, in units of the cell vectors:
Rh: 0.5000 0.0000 0.0000  4 Co 2.48, 4 Cu 2.58, 2 Rh 2.67
Co: 0.0000 0.5000 0.0000  4 Cu 2.44, 4 Rh 2.48, 2 Co 2.67
Cu: 0.2592 0.2592 0.5184  2 Co 2.44, 6 Cu 2.48-2.67, 2 Rh 2.58
Cu: 0.7408 0.7408 0.4816  2 Co 2.44, 6 Cu 2.48-2.67, 2 Rh 2.58

Summary:
The mass density is 10.14 Mg/m³. The value obtained for the formation energy is 71 meV/atom. For the total moment, the calculation gives 0.63 μB/atom.

=====

What did the second record say?
## CoCu2Rh (SCAN)

Data for a PBEsol-optimized structure of CoCu2Rh.

Lattice parameters (Å, degrees): 2.6706 4.1711 4.9166 115.10 105.76 90.00
With the nearest neighbours (Å) after each atom.
Sites, in units of the cell vectors:
Rh: 0.5000 0.0000 0.0000  4 Co 2.48, 4 Cu 2.58, 2 Rh 2.67
Co: 0.0000 0.5000 0.0000  4 Cu 2.44, 4 Rh 2.48, 2 Co 2.67
Cu: 0.2592 0.2592 0.5184  2 Co 2.44, 6 Cu 2.48-2.67, 2 Rh 2.58
Cu: 0.7408 0.7408 0.4816  2 Co 2.44, 6 Cu 2.48-2.67, 2 Rh 2.58

Summary:
The mass density is 10.14 Mg/m³. The value obtained for the formation energy is 71 meV/atom. For the total moment, the calculation gives 0.63 μB/atom.

=====

Question: Number 2 is which compound?
Answer: CoCu2Rh

=====

Please write out number 2 again, unchanged.
## CoCu2Rh (SCAN)

Data for a PBEsol-optimized structure of CoCu2Rh.

Lattice parameters (Å, degrees): 2.6706 4.1711 4.9166 115.10 105.76 90.00
With the nearest neighbours (Å) after each atom.
Sites, in units of the cell vectors:
Rh: 0.5000 0.0000 0.0000  4 Co 2.48, 4 Cu 2.58, 2 Rh 2.67
Co: 0.0000 0.5000 0.0000  4 Cu 2.44, 4 Rh 2.48, 2 Co 2.67
Cu: 0.2592 0.2592 0.5184  2 Co 2.44, 6 Cu 2.48-2.67, 2 Rh 2.58
Cu: 0.7408 0.7408 0.4816  2 Co 2.44, 6 Cu 2.48-2.67, 2 Rh 2.58

Summary:
The mass density is 10.14 Mg/m³. The value obtained for the formation energy is 71 meV/atom. For the total moment, the calculation gives 0.63 μB/atom.